Entry from Alexandria: crystalline Mg2NbCl at its relaxed geometry (PBE). Values from VASP.

Cell and atoms, written as Quantum ESPRESSO input:
```
&SYSTEM
  ibrav = 0, nat = 4, ntyp = 3
/
ATOMIC_SPECIES
Cl 35.45 Cl.upf
Mg 24.30 Mg.upf
Nb 92.91 Nb.upf
CELL_PARAMETERS angstrom
0.000 3.568 3.568
3.568 0.000 3.568
3.568 3.568 0.000
ATOMIC_POSITIONS crystal
Cl 0.000 0.000 0.000
Mg 0.250 0.250 0.250
Mg 0.750 0.750 0.750
Nb 0.500 0.500 0.500
```

Summary:
Volume ... 22.7 Å³ per atom
Theoretical density ... 3.2 g/cm3
Raw formation energy ... 0.662 eV/atom
Space-group type ... Fm-3m
ΔE to the lowest computed polymorph ... 329 meV per atom
Crystal system ... cubic